VASP calculation (PBE-GGA) on a geometry-optimized RbAgN2F structure.

Computed properties:
* DOS at the Fermi energy: 0.07 states/eV per atom
* space group: P4/mmm, No. 123
* magnetization: 5.00 μB/cell
* ΔE_f (raw): 1.535 eV/atom
* energy above the most stable polymorph in this dataset: 0.9397 eV/atom

a b c (Å): 5.534 5.534 4.996
angles (deg): 90.00 90.00 90.00
Fractional positions:
Rb 0.000 0.000 0.000
Ag 0.500 0.500 0.500
N 0.000 0.500 0.000
N 0.500 0.000 0.000
F 0.000 0.000 0.500